(1)
! Nb3InF meta-GGA SCAN PBEsol geometry; values from VASP
&SYSTEM
  ibrav = 0, nat = 5, ntyp = 3
/
ATOMIC_SPECIES
Nb 92.91 Nb.upf
In 114.82 In.upf
F 19.00 F.upf
CELL_PARAMETERS angstrom
5.0529 0.0000 0.0000
0.0000 5.0529 0.0000
0.0000 0.0000 5.0529
ATOMIC_POSITIONS crystal
Nb 0.0000 0.0000 0.5000
Nb 0.0000 0.5000 0.0000
Nb 0.5000 0.0000 0.0000
In 0.0000 0.0000 0.0000
F 0.5000 0.5000 0.5000
! Total magnetic moment   0.05 Bohr magnetons per cell
! Space-group type   Pm-3m (221)
! Crystal system   cubic

---

(2)
! InOF meta-GGA SCAN PBEsol geometry; values from VASP
&SYSTEM
  ibrav = 0, nat = 12, ntyp = 3
/
ATOMIC_SPECIES
In 114.82 In.upf
O 16.00 O.upf
F 19.00 F.upf
CELL_PARAMETERS angstrom
0.0000 4.2075 5.1192
3.5278 0.0000 5.1192
3.5278 4.2075 0.0000
ATOMIC_POSITIONS crystal
In 0.0753 0.6747 0.0753
In 0.3253 0.9247 0.3253
In 0.6747 0.0753 0.6747
In 0.9247 0.3253 0.9247
O 0.0115 0.0115 0.7385
O 0.2615 0.2615 0.9885
O 0.7385 0.7385 0.0115
O 0.9885 0.9885 0.2615
F 0.0000 0.5000 0.5000
F 0.5000 0.0000 0.5000
F 0.5000 0.5000 0.0000
F 0.5000 0.5000 0.5000
! Total magnetic moment   0.00 Bohr magnetons per cell
! Space-group type   Fddd (70)
! Crystal system   orthorhombic

---

(3)
! InO2F2 meta-GGA SCAN PBEsol geometry; values from VASP
&SYSTEM
  ibrav = 0, nat = 5, ntyp = 3
/
ATOMIC_SPECIES
In 114.82 In.upf
O 16.00 O.upf
F 19.00 F.upf
CELL_PARAMETERS angstrom
4.2462 0.0000 0.0000
0.0000 4.2462 0.0000
0.0000 0.0000 4.0721
ATOMIC_POSITIONS crystal
In 0.0000 0.0000 0.0000
O 0.0000 0.5000 0.0000
O 0.5000 0.0000 0.0000
F 0.0000 0.0000 0.5000
F 0.5000 0.5000 0.5000
! Total magnetic moment   3.00 Bohr magnetons per cell
! Space-group type   P4/mmm (123)
! Crystal system   tetragonal

---

(4)
! InPtOF2 meta-GGA SCAN PBEsol geometry; values from VASP
&SYSTEM
  ibrav = 0, nat = 5, ntyp = 4
/
ATOMIC_SPECIES
In 114.82 In.upf
Pt 195.08 Pt.upf
O 16.00 O.upf
F 19.00 F.upf
CELL_PARAMETERS angstrom
4.5366 0.0000 0.0000
0.0000 4.5366 0.0000
0.0000 0.0000 3.7431
ATOMIC_POSITIONS crystal
In 0.0000 0.0000 0.0000
Pt 0.5000 0.5000 0.5000
O 0.5000 0.5000 0.0000
F 0.0000 0.5000 0.5000
F 0.5000 0.0000 0.5000
! Total magnetic moment   0.49 Bohr magnetons per cell
! Space-group type   P4/mmm (123)
! Crystal system   tetragonal

---

Listing ΔE_f (raw) for the structures above in their given order: 2006 -2230 -658 -877 meV per atom.